# Hf2GaRu, optimized geometry, DFT PBE-GGA
# energy	-8.35	eV per atom
# ρ	11.56	g/cm3
# DFT formation energy	-0.30	eV/atom
# Fermi-level density of states	11.77	states/eV per cell
data_Hf2GaRu
_chemical_formula_sum 'Hf6 Ga3 Ru3'
_cell_length_a 3.2397
_cell_length_b 3.2397
_cell_length_c 25.0273
_cell_angle_alpha 90.00
_cell_angle_beta 90.00
_cell_angle_gamma 120.00
_space_group_name_H-M_alt 'R -3 m'
_space_group_IT_number 166
_space_group_name_Hall '-R 3 2"'
loop_
_atom_site_label
_atom_site_type_symbol
_atom_site_fract_x
_atom_site_fract_y
_atom_site_fract_z
_atom_site_occupancy
Hf1 Hf 0.0000 0.0000 0.2446 1
Ga1 Ga 0.0000 0.0000 0.0000 1
Ru1 Ru 0.0000 0.0000 0.5000 1

---

# La8Ag2Os3, optimized geometry, DFT PBE-GGA
# energy	-6.17	eV per atom
# ρ	8.05	g/cm3
# DFT formation energy	-0.10	eV/atom
# Fermi-level density of states	9.60	states/eV per cell
data_La8Ag2Os3
_chemical_formula_sum 'La8 Ag2 Os3'
_cell_length_a 9.117
_cell_length_b 5.082
_cell_length_c 9.133
_cell_angle_alpha 90.00
_cell_angle_beta 112.32
_cell_angle_gamma 90.00
_space_group_name_H-M_alt 'P 1 2/m 1'
_space_group_IT_number 10
loop_
_space_group_symop_operation_xyz
'x,y,z'
'-x,-y,-z'
'-x,y,-z'
'x,-y,z'
loop_
_atom_site_label
_atom_site_type_symbol
_atom_site_fract_x
_atom_site_fract_y
_atom_site_fract_z
_atom_site_occupancy
La1 La 0.108 0.000 0.391 1
La2 La 0.142 0.500 0.864 1
La3 La 0.363 0.500 0.642 1
La4 La 0.386 0.000 0.114 1
Ag1 Ag 0.246 0.500 0.255 1
Os1 Os 0.247 0.000 0.747 1
Os2 Os 0.500 0.500 0.000 1

---

# KNbPb3, optimized geometry, DFT PBE-GGA
# energy	-4.33	eV per atom
# E above lowest polymorph	0	meV/atom
# ρ	7.16	g/cm3
# DFT formation energy	0.13	eV/atom
# Fermi-level density of states	2.97	states/eV per cell
data_KNbPb3
_chemical_formula_sum 'K1 Nb1 Pb3'
_cell_length_a 5.591
_cell_length_b 5.591
_cell_length_c 5.591
_cell_angle_alpha 90.00
_cell_angle_beta 90.00
_cell_angle_gamma 90.00
_space_group_name_H-M_alt 'P m -3 m'
_space_group_IT_number 221
_space_group_name_Hall '-P 4 2 3'
loop_
_atom_site_label
_atom_site_type_symbol
_atom_site_fract_x
_atom_site_fract_y
_atom_site_fract_z
_atom_site_occupancy
K1 K 0.000 0.000 0.000 1
Nb1 Nb 0.500 0.500 0.500 1
Pb1 Pb 0.000 0.500 0.500 1

---

# AcAl11Cr, optimized geometry, DFT PBE-GGA
# energy	-4.37	eV per atom
# ρ	4.11	g/cm3
# DFT formation energy	-0.15	eV/atom
# Fermi-level density of states	13.47	states/eV per cell
data_AcAl11Cr
_chemical_formula_sum 'Ac2 Al22 Cr2'
_cell_length_a 5.279
_cell_length_b 12.908
_cell_length_c 7.297
_cell_angle_alpha 90.00
_cell_angle_beta 110.55
_cell_angle_gamma 90.00
_space_group_name_H-M_alt 'C 1 2/m 1'
_space_group_IT_number 12
loop_
_space_group_symop_operation_xyz
'x,y,z'
'-x,-y,-z'
'-x,y,-z'
'x,-y,z'
'x+1/2,y+1/2,z'
'-x+1/2,-y+1/2,-z'
'-x+1/2,y+1/2,-z'
'x+1/2,-y+1/2,z'
loop_
_atom_site_label
_atom_site_type_symbol
_atom_site_fract_x
_atom_site_fract_y
_atom_site_fract_z
_atom_site_occupancy
Ac1 Ac 0.000 0.000 0.000 1
Al1 Al 0.000 0.000 0.500 1
Al2 Al 0.113 0.388 0.237 1
Al3 Al 0.197 0.173 0.364 1
Al4 Al 0.250 0.250 0.000 1
Cr1 Cr 0.000 0.500 0.500 1

---

# Pa3NiN6, optimized geometry, DFT PBE-GGA
# energy	-9.61	eV per atom
# ρ	10.23	g/cm3
# Fermi-level density of states	14.31	states/eV per cell
# ΔE_f (raw)	-1.1854	eV/atom
data_Pa3NiN6
_chemical_formula_sum 'Pa12 Ni4 N24'
_cell_length_a 9.111
_cell_length_b 11.037
_cell_length_c 5.395
_cell_angle_alpha 90.00
_cell_angle_beta 90.00
_cell_angle_gamma 90.00
_space_group_name_H-M_alt 'C m c 21'
_space_group_IT_number 36
loop_
_space_group_symop_operation_xyz
'x,y,z'
'-x,-y,z+1/2'
'-x,y,z'
'x,-y,z+1/2'
'x+1/2,y+1/2,z'
'-x+1/2,-y+1/2,z+1/2'
'-x+1/2,y+1/2,z'
'x+1/2,-y+1/2,z+1/2'
loop_
_atom_site_label
_atom_site_type_symbol
_atom_site_fract_x
_atom_site_fract_y
_atom_site_fract_z
_atom_site_occupancy
Pa1 Pa 0.000 0.111 0.000 1
Pa2 Pa 0.201 0.382 0.956 1
Ni1 Ni 0.000 0.366 0.447 1
N1 N 0.000 0.277 0.763 1
N2 N 0.000 0.483 0.145 1
N3 N 0.149 0.248 0.251 1
N4 N 0.156 0.010 0.725 1

---

# YZrCd, optimized geometry, DFT PBE-GGA
# energy	-5.48	eV per atom
# E above lowest polymorph	0	meV/atom
# ρ	6.48	g/cm3
# DFT formation energy	-0.17	eV/atom
# Fermi-level density of states	10.83	states/eV per cell
data_YZrCd
_chemical_formula_sum 'Y4 Zr4 Cd4'
_cell_length_a 3.390
_cell_length_b 16.946
_cell_length_c 5.217
_cell_angle_alpha 90.00
_cell_angle_beta 90.00
_cell_angle_gamma 90.00
_space_group_name_H-M_alt 'C m c m'
_space_group_IT_number 63
_space_group_name_Hall '-C 2c 2'
loop_
_atom_site_label
_atom_site_type_symbol
_atom_site_fract_x
_atom_site_fract_y
_atom_site_fract_z
_atom_site_occupancy
Y1 Y 0.000 0.102 0.250 1
Zr1 Zr 0.000 0.225 0.750 1
Cd1 Cd 0.000 0.440 0.250 1

---

# Ni2IrBr, optimized geometry, DFT PBE-GGA
# energy	-4.80	eV per atom
# E above lowest polymorph	359	meV/atom
# ρ	11.31	g/cm3
# Fermi-level density of states	12.31	states/eV per cell
# ΔE_f (raw)	0.7253	eV/atom
data_Ni2IrBr
_chemical_formula_sum 'Ni4 Ir2 Br2'
_cell_length_a 2.825
_cell_length_b 4.470
_cell_length_c 9.053
_cell_angle_alpha 90.00
_cell_angle_beta 90.00
_cell_angle_gamma 90.00
_space_group_name_H-M_alt 'I m m 2'
_space_group_IT_number 44
loop_
_space_group_symop_operation_xyz
'x,y,z'
'-x,-y,z'
'-x,y,z'
'x,-y,z'
'x+1/2,y+1/2,z+1/2'
'-x+1/2,-y+1/2,z+1/2'
'-x+1/2,y+1/2,z+1/2'
'x+1/2,-y+1/2,z+1/2'
loop_
_atom_site_label
_atom_site_type_symbol
_atom_site_fract_x
_atom_site_fract_y
_atom_site_fract_z
_atom_site_occupancy
Ni1 Ni 0.000 0.000 0.000 1
Ni2 Ni 0.000 0.500 0.247 1
Ir1 Ir 0.000 0.500 0.742 1
Br1 Br 0.000 0.000 0.487 1

---

# MgTiNiRu, optimized geometry, DFT PBE-GGA
# energy	-6.50	eV per atom
# ρ	6.78	g/cm3
# DFT formation energy	-0.37	eV/atom
# Fermi-level density of states	5.26	states/eV per cell
data_MgTiNiRu
_chemical_formula_sum 'Mg4 Ti4 Ni4 Ru4'
_cell_length_a 6.103
_cell_length_b 6.103
_cell_length_c 6.103
_cell_angle_alpha 90.00
_cell_angle_beta 90.00
_cell_angle_gamma 90.00
_space_group_name_H-M_alt 'F -4 3 m'
_space_group_IT_number 216
_space_group_name_Hall 'F -4 2 3'
loop_
_atom_site_label
_atom_site_type_symbol
_atom_site_fract_x
_atom_site_fract_y
_atom_site_fract_z
_atom_site_occupancy
Mg1 Mg 0.000 0.000 0.000 1
Ti1 Ti 0.000 0.000 0.500 1
Ni1 Ni 0.250 0.250 0.750 1
Ru1 Ru 0.250 0.250 0.250 1

---

# Ce3Mn2Ni7, optimized geometry, DFT PBE-GGA
# energy	-6.69	eV per atom
# ρ	8.67	g/cm3
# DFT formation energy	-0.30	eV/atom
# Fermi-level density of states	37.21	states/eV per cell
data_Ce3Mn2Ni7
_chemical_formula_sum 'Ce9 Mn6 Ni21'
_cell_length_a 5.0186
_cell_length_b 5.0186
_cell_length_c 24.7777
_cell_angle_alpha 90.00
_cell_angle_beta 90.00
_cell_angle_gamma 120.00
_space_group_name_H-M_alt 'R -3 m'
_space_group_IT_number 166
_space_group_name_Hall '-R 3 2"'
loop_
_atom_site_label
_atom_site_type_symbol
_atom_site_fract_x
_atom_site_fract_y
_atom_site_fract_z
_atom_site_occupancy
Ce1 Ce 0.0000 0.0000 0.0000 1
Ce2 Ce 0.0000 0.0000 0.1387 1
Mn1 Mn 0.0000 0.0000 0.3328 1
Ni1 Ni 0.0000 0.0000 0.5000 1
Ni2 Ni 0.0014 0.5007 0.0826 1

---

# TbYTmSc2, optimized geometry, DFT PBE-GGA
# energy	-5.29	eV per atom
# ρ	5.51	g/cm3
# DFT formation energy	0.35	eV/atom
# Fermi-level density of states	33.36	states/eV per cell
data_TbYTmSc2
_chemical_formula_sum 'Tb4 Y4 Tm4 Sc8'
_cell_length_a 6.022
_cell_length_b 16.843
_cell_length_c 6.021
_cell_angle_alpha 90.00
_cell_angle_beta 90.00
_cell_angle_gamma 90.00
_space_group_name_H-M_alt 'C m c m'
_space_group_IT_number 63
_space_group_name_Hall '-C 2c 2'
loop_
_atom_site_label
_atom_site_type_symbol
_atom_site_fract_x
_atom_site_fract_y
_atom_site_fract_z
_atom_site_occupancy
Tb1 Tb 0.000 0.153 0.250 1
Y1 Y 0.000 0.347 0.250 1
Tm1 Tm 0.000 0.250 0.750 1
Sc1 Sc 0.250 0.000 0.000 1

---

# Ta4MoW3, optimized geometry, DFT PBE-GGA
# energy	-12.27	eV per atom
# E above lowest polymorph	0	meV/atom
# ρ	16.76	g/cm3
# DFT formation energy	-0.13	eV/atom
# Fermi-level density of states	6.23	states/eV per cell
data_Ta4MoW3
_chemical_formula_sum 'Ta4 Mo1 W3'
_cell_length_a 3.245
_cell_length_b 4.576
_cell_length_c 9.148
_cell_angle_alpha 90.00
_cell_angle_beta 90.00
_cell_angle_gamma 90.00
_space_group_name_H-M_alt 'P m m m'
_space_group_IT_number 47
loop_
_space_group_symop_operation_xyz
'x,y,z'
'-x,-y,-z'
'-x,-y,z'
'x,y,-z'
'x,-y,-z'
'-x,y,z'
'-x,y,-z'
'x,-y,z'
loop_
_atom_site_label
_atom_site_type_symbol
_atom_site_fract_x
_atom_site_fract_y
_atom_site_fract_z
_atom_site_occupancy
Ta1 Ta 0.000 0.000 0.000 1
Ta2 Ta 0.000 0.000 0.500 1
Ta3 Ta 0.000 0.500 0.249 1
Mo1 Mo 0.500 0.500 0.000 1
W1 W 0.500 0.000 0.250 1
W2 W 0.500 0.500 0.500 1

---

# CaGdZnNi, optimized geometry, DFT PBE-GGA
# energy	-5.99	eV per atom
# ρ	6.15	g/cm3
# DFT formation energy	-0.20	eV/atom
# Fermi-level density of states	12.58	states/eV per cell
data_CaGdZnNi
_chemical_formula_sum 'Ca4 Gd4 Zn4 Ni4'
_cell_length_a 7.029
_cell_length_b 7.029
_cell_length_c 7.029
_cell_angle_alpha 90.00
_cell_angle_beta 90.00
_cell_angle_gamma 90.00
_space_group_name_H-M_alt 'F -4 3 m'
_space_group_IT_number 216
_space_group_name_Hall 'F -4 2 3'
loop_
_atom_site_label
_atom_site_type_symbol
_atom_site_fract_x
_atom_site_fract_y
_atom_site_fract_z
_atom_site_occupancy
Ca1 Ca 0.000 0.000 0.000 1
Gd1 Gd 0.000 0.000 0.500 1
Zn1 Zn 0.250 0.250 0.250 1
Ni1 Ni 0.250 0.250 0.750 1